Record 1
A plane-wave DFT calculation with GGA-PBE was carried out for crystalline Cu3Sn at its relaxed geometry.

Output
ρ   8.65 Mg/m³
SG   Imm2, No. 44
Uncorrected energy   -3.98 eV/atom
Formation energy from the elements   0.094 eV per atom

a = 2.986 Å, b = 4.626 Å, c = 5.103 Å
α = 116.95°, β = 107.01°, γ = 90.00°
Fractional coordinates of all 4 atoms:
Cu (0.241, 0.588, 0.482)
Sn (0.000, 0.980, 0.000)
Cu (0.759, 0.106, 0.518)
Cu (0.500, 0.493, 0.000)

=====

Record 2
A plane-wave DFT calculation with GGA-PBE was carried out for crystalline AcPm5Dy2 at its relaxed geometry.

Output
ρ   7.63 Mg/m³
SG   Pbam, No. 55
Excess energy over the best structure of this formula in the dataset   0 meV/atom
Uncorrected energy   -4.61 eV/atom
Formation energy from the elements   0.026 eV per atom

a = 5.160 Å, b = 7.337 Å, c = 14.682 Å
α = 90.00°, β = 90.00°, γ = 90.00°
Fractional coordinates of all 16 atoms:
Pm (0.000, 0.000, 0.000)
Dy (0.500, 0.751, 0.873)
Pm (0.000, 0.498, 0.747)
Dy (0.500, 0.249, 0.127)
Pm (0.000, 0.500, 0.500)
Ac (0.000, 0.000, 0.500)
Pm (0.500, 0.746, 0.627)
Pm (0.500, 0.754, 0.127)
Pm (0.000, 0.502, 0.253)
Ac (0.000, 0.500, 0.000)
Dy (0.500, 0.749, 0.373)
Pm (0.000, 0.998, 0.753)
Dy (0.500, 0.251, 0.627)
Pm (0.500, 0.254, 0.373)
Pm (0.500, 0.246, 0.873)
Pm (0.000, 0.002, 0.247)

=====

Record 3
A plane-wave DFT calculation with GGA-PBE was carried out for crystalline Sc6SeO12 at its relaxed geometry.

Output
ρ   4.20 Mg/m³
Formation energy (no corrections)   -2.927 eV/atom
SG   R-3, No. 148
Uncorrected energy   -8.24 eV/atom

a = 6.056 Å, b = 6.056 Å, c = 6.056 Å
α = 98.50°, β = 98.50°, γ = 98.50°
Fractional coordinates of all 19 atoms:
O (0.407, 0.823, 0.573)
O (0.702, 0.927, 0.033)
Sc (0.613, 0.319, 0.145)
O (0.573, 0.407, 0.823)
O (0.823, 0.573, 0.407)
O (0.593, 0.177, 0.427)
Se (0.000, 0.000, 0.000)
Sc (0.319, 0.145, 0.613)
Sc (0.681, 0.855, 0.387)
Sc (0.145, 0.613, 0.319)
O (0.298, 0.073, 0.967)
Sc (0.387, 0.681, 0.855)
O (0.073, 0.967, 0.298)
O (0.967, 0.298, 0.073)
O (0.927, 0.033, 0.702)
O (0.177, 0.427, 0.593)
Sc (0.855, 0.387, 0.681)
O (0.033, 0.702, 0.927)
O (0.427, 0.593, 0.177)

=====

Record 4
A plane-wave DFT calculation with GGA-PBE was carried out for crystalline SrHgCl2 at its relaxed geometry.

Output
ρ   5.51 Mg/m³
Formation energy (no corrections)   -1.499 eV/atom
SG   P4/mmm, No. 123
Excess energy over the best structure of this formula in the dataset   300 meV/atom
Uncorrected energy   -2.92 eV/atom

a = 5.072 Å, b = 5.072 Å, c = 4.206 Å
α = 90.00°, β = 90.00°, γ = 89.99°
Fractional coordinates of all 4 atoms:
Cl (0.000, 0.000, 0.000)
Sr (0.000, 0.500, 0.500)
Cl (0.500, 0.500, 0.000)
Hg (0.500, 0.000, 0.500)